DFT (PBE+U) results for a relaxed Y2Mo2O7 crystal.

Cell: 7.3705 7.3705 7.3705 Å, 60.00 60.00 60.00°
With the nearest neighbours (Å) after each atom.
Sites, in units of the cell vectors:
Y  0.0000  0.0000  0.0000  8 O 2.26-2.50
Y  0.0000  0.0000  0.5000  8 O 2.26-2.50
Y  0.0000  0.5000  0.0000  8 O 2.26-2.50
Y  0.5000  0.0000  0.0000  8 O 2.26-2.50
Mo  0.0000  0.5000  0.5000  6 O 2.06
Mo  0.5000  0.0000  0.5000  6 O 2.06
Mo  0.5000  0.5000  0.0000  6 O 2.06
Mo  0.5000  0.5000  0.5000  6 O 2.06
O  0.1250  0.1250  0.1250  4 Y 2.26
O  0.1619  0.1619  0.5881  2 Mo 2.06
O  0.1619  0.5881  0.1619  2 Mo 2.06
O  0.1619  0.5881  0.5881  2 Mo 2.06
O  0.4119  0.4119  0.8381  2 Mo 2.06
O  0.4119  0.8381  0.4119  2 Mo 2.06
O  0.4119  0.8381  0.8381  2 Mo 2.06
O  0.5881  0.1619  0.1619  2 Mo 2.06
O  0.5881  0.1619  0.5881  2 Mo 2.06
O  0.5881  0.5881  0.1619  2 Mo 2.06
O  0.8381  0.4119  0.4119  2 Mo 2.06
O  0.8381  0.4119  0.8381  2 Mo 2.06
O  0.8381  0.8381  0.4119  2 Mo 2.06
O  0.8750  0.8750  0.8750  4 Y 2.26

Output
Uncorrected energy, eV/atom: -8.17
Symmetry: Fd-3m, No. 227
Total moment, μB per formula unit: 4.0